Below is crystalline Dy2Er3Pd3 at its relaxed geometry, with properties calculated at the PBE level.

abc: 3.5329 5.1261 10.8773
angles: 103.63 99.35 90.00
Fractional coordinates of all 8 atoms:
Pd: 0.1138 0.1138 0.2276
Pd: 0.8862 0.8862 0.7724
Pd: 0.0000 0.5000 0.0000
Er: 0.3847 0.3847 0.7693
Er: 0.6153 0.6153 0.2307
Er: 0.5000 0.0000 0.0000
Dy: 0.7264 0.2264 0.4528
Dy: 0.2736 0.7736 0.5472

Results
**Energy of formation**: -651 meV per atom
**Magnetic moment**: 0.00 μB per cell
**V**: 189 Å³ per cell
**SG**: No. 71